1.
6
Lattice="2.422 1.398 7.312 -2.422 1.398 7.312 0.000 -2.796 7.312" Properties=species:S:1:pos:R:3 comment="ThAlP, optimized geometry, DFT PBE" ef_ev_per_fu=-2.3 dft_energy_ev_per_atom=-6.29 n_ef_per_ev_atom=0.682 pbc="T T T"
Th 0.000 0.000 1.961
Th 0.000 0.000 19.974
Al 0.000 0.000 7.283
Al 0.000 0.000 14.651
P 0.000 0.000 4.828
P 0.000 0.000 17.107


2.
8
Lattice="2.320 1.339 7.617 -2.320 1.339 7.617 0.000 -2.679 7.617" Properties=species:S:1:pos:R:3 comment="ErCuSn2Pd4, optimized geometry, DFT PBE" ef_ev_per_fu=-4.9 dft_energy_ev_per_atom=-5.29 n_ef_per_ev_atom=0.278 pbc="T T T"
Er 0.000 0.000 0.000
Cu 0.000 0.000 11.425
Sn 0.000 0.000 5.666
Sn 0.000 0.000 17.185
Pd 0.000 0.000 2.917
Pd 0.000 0.000 8.819
Pd 0.000 0.000 14.031
Pd 0.000 0.000 19.934


3.
8
Lattice="5.041 0.000 0.000 0.000 5.041 0.000 0.000 0.000 8.712" Properties=species:S:1:pos:R:3 comment="MgSb2Pb, optimized geometry, DFT PBE" dft_energy_ev_per_atom=-3.38 n_ef_per_ev_atom=0.493 pbc="T T T"
Mg 0.000 0.000 0.000
Mg 2.521 2.521 4.356
Sb 0.000 2.521 2.178
Sb 0.000 2.521 6.534
Sb 2.521 0.000 2.178
Sb 2.521 0.000 6.534
Pb 0.000 0.000 4.356
Pb 2.521 2.521 0.000


4.
7
Lattice="6.191 0.000 0.000 -3.095 5.362 0.000 0.000 0.000 4.635" Properties=species:S:1:pos:R:3 comment="Ir4Pb3, optimized geometry, DFT PBE" ef_ev_per_fu=8.6 dft_energy_ev_per_atom=-5.43 n_ef_per_ev_atom=1.146 pbc="T T T"
Ir 0.000 0.000 1.151
Ir 0.000 0.000 3.484
Ir 0.000 3.574 0.000
Ir 3.096 1.787 0.000
Pb -1.548 2.681 2.317
Pb 3.095 0.000 2.317
Pb 1.548 2.681 2.317


5.
8
Lattice="9.254 0.000 0.000 0.000 3.360 0.000 -2.765 0.000 4.390" Properties=species:S:1:pos:R:3 comment="ZrPW2, optimized geometry, DFT PBE" ef_ev_per_fu=-0.6 dft_energy_ev_per_atom=-10.10 n_ef_per_ev_atom=0.904 pbc="T T T"
Zr 0.000 0.000 0.000
Zr 4.627 1.680 0.000
P 0.901 1.680 1.804
P 5.528 0.000 1.804
W -0.149 0.000 3.267
W 2.797 0.000 1.857
W 4.478 1.680 3.267
W 7.424 1.680 1.857


6.
4
Lattice="3.538 0.000 0.000 0.000 3.503 0.000 -0.020 0.000 7.630" Properties=species:S:1:pos:R:3 comment="CaMgTa2, optimized geometry, DFT PBE" ef_ev_per_fu=1.3 dft_energy_ev_per_atom=-6.51 n_ef_per_ev_atom=0.942 pbc="T T T"
Ca 0.000 0.000 0.000
Mg 1.763 1.752 5.190
Ta -0.004 0.000 3.367
Ta 1.765 1.752 2.226


7.
5
Lattice="4.208 0.000 0.000 0.000 4.208 0.000 0.000 0.000 4.208" Properties=species:S:1:pos:R:3 comment="NaScN3, optimized geometry, DFT PBE" dft_energy_ev_per_atom=-5.70 n_ef_per_ev_atom=1.034 pbc="T T T"
Na 0.000 0.000 0.000
Sc 2.104 2.104 2.104
N 0.000 2.104 2.104
N 2.104 0.000 2.104
N 2.104 2.104 0.000


8.
20
Lattice="3.921 0.000 0.000 0.000 3.921 0.000 0.000 0.000 19.730" Properties=species:S:1:pos:R:3 comment="Zn4CuPt15, optimized geometry, DFT PBE" ef_ev_per_fu=-5.7 dft_energy_ev_per_atom=-5.28 n_ef_per_ev_atom=0.903 pbc="T T T"
Zn 0.000 0.000 1.975
Zn 0.000 0.000 5.937
Zn 0.000 0.000 13.793
Zn 0.000 0.000 17.755
Cu 0.000 0.000 9.865
Pt 0.000 1.960 0.000
Pt 0.000 1.960 3.964
Pt 0.000 1.960 7.919
Pt 0.000 1.960 11.811
Pt 0.000 1.960 15.766
Pt 1.960 0.000 0.000
Pt 1.960 0.000 3.964
Pt 1.960 0.000 7.919
Pt 1.960 0.000 11.811
Pt 1.960 0.000 15.766
Pt 1.960 1.960 1.987
Pt 1.960 1.960 5.947
Pt 1.960 1.960 9.865
Pt 1.960 1.960 13.783
Pt 1.960 1.960 17.743


9.
12
Lattice="4.105 0.000 0.000 0.000 4.104 0.000 -0.063 0.000 7.433" Properties=species:S:1:pos:R:3 comment="BH4Br, optimized geometry, DFT PBE" dft_energy_ev_per_atom=-3.31 n_ef_per_ev_atom=0.131 pbc="T T T"
B 0.000 0.000 0.000
B 2.052 2.052 0.000
H 0.001 0.000 1.206
H 1.026 1.026 0.000
H 1.026 3.078 0.000
H 1.989 2.052 6.227
H 2.054 2.052 1.206
H 3.079 1.026 0.000
H 3.079 3.078 0.000
H 4.041 0.000 6.227
Br -0.031 2.052 3.716
Br 2.021 0.000 3.716


10.
12
Lattice="3.196 -5.524 0.000 3.196 5.524 0.000 -2.163 0.000 5.950" Properties=species:S:1:pos:R:3 comment="Sr5PuN6, optimized geometry, DFT PBE" dft_energy_ev_per_atom=-6.80 n_ef_per_ev_atom=0.374 pbc="T T T"
Sr 0.000 0.000 0.000
Sr 2.115 3.678 2.975
Sr 3.196 1.792 0.000
Sr 3.196 -1.792 0.000
Sr 2.115 -3.678 2.975
Pu 2.115 0.000 2.975
N 1.251 1.504 1.696
N 0.389 0.000 4.206
N 1.251 -1.504 1.696
N 2.978 1.504 4.255
N 3.840 0.000 1.745
N 2.978 -1.504 4.255


11.
16
Lattice="7.698 0.000 0.000 0.000 13.227 0.000 -2.563 0.000 7.060" Properties=species:S:1:pos:R:3 comment="NaTaI6, optimized geometry, DFT PBE" dft_energy_ev_per_atom=-3.40 pbc="T T T"
Na 0.000 0.000 0.000
Na 3.849 6.613 0.000
Ta -1.282 6.613 3.530
Ta 2.567 0.000 3.530
I -0.210 4.609 5.144
I -0.210 8.618 5.144
I 1.006 6.613 2.013
I 0.280 0.000 5.047
I 1.495 2.004 1.916
I 1.495 11.222 1.916
I 3.639 2.004 5.144
I 3.639 11.222 5.144
I 4.854 0.000 2.013
I 4.129 6.613 5.047
I 5.344 4.609 1.916
I 5.344 8.618 1.916


12.
16
Lattice="4.744 0.000 0.000 0.000 4.744 0.000 0.000 0.000 12.607" Properties=species:S:1:pos:R:3 comment="ZnPt2O, optimized geometry, DFT PBE" dft_energy_ev_per_atom=-4.45 n_ef_per_ev_atom=0.218 pbc="T T T"
Zn 0.000 0.000 0.000
Zn 0.000 2.372 3.152
Zn 2.372 0.000 9.455
Zn 2.372 2.372 6.304
Pt 0.587 1.186 7.880
Pt 1.186 2.959 11.031
Pt 1.186 4.157 4.728
Pt 1.785 1.186 1.576
Pt 2.959 3.558 1.576
Pt 3.558 0.587 4.728
Pt 3.558 1.785 11.031
Pt 4.157 3.558 7.880
O 0.000 0.000 6.304
O 0.000 2.372 9.455
O 2.372 0.000 3.152
O 2.372 2.372 0.000


13.
12
Lattice="3.330 -5.780 0.000 3.330 5.780 0.000 -2.224 0.000 6.270" Properties=species:S:1:pos:R:3 comment="SmHo3Sc2S6, optimized geometry, DFT PBE" dft_energy_ev_per_atom=-6.59 n_ef_per_ev_atom=0.436 pbc="T T T"
Sm 0.000 0.000 0.000
Ho 2.218 3.926 3.135
Ho 2.218 0.000 3.135
Ho 2.218 -3.926 3.135
Sc 3.330 1.903 0.000
Sc 3.330 -1.903 0.000
S 1.157 2.015 1.542
S 0.094 0.000 4.758
S 1.157 -2.015 1.542
S 3.279 2.015 4.728
S 4.342 0.000 1.512
S 3.279 -2.015 4.728


14.
4
Lattice="4.644 0.000 0.000 0.000 4.644 0.000 0.000 0.000 3.234" Properties=species:S:1:pos:R:3 comment="CuRuBr2, optimized geometry, DFT PBE" dft_energy_ev_per_atom=-3.48 n_ef_per_ev_atom=0.556 pbc="T T T"
Cu 0.000 0.000 0.000
Ru 2.322 2.322 0.000
Br 0.000 2.322 1.617
Br 2.322 0.000 1.617


15.
12
Lattice="3.716 0.000 0.000 0.000 5.364 0.000 0.000 0.000 11.767" Properties=species:S:1:pos:R:3 comment="K2HgF3, optimized geometry, DFT PBE" dft_energy_ev_per_atom=-3.44 n_ef_per_ev_atom=0.272 pbc="T T T"
K 0.000 0.000 1.936
K 0.000 0.000 9.831
K 1.858 2.682 3.948
K 1.858 2.682 7.820
Hg 0.000 0.000 5.884
Hg 1.858 2.682 0.000
F 0.000 2.682 1.985
F 0.000 2.682 5.884
F 0.000 2.682 9.783
F 1.858 0.000 0.000
F 1.858 0.000 3.899
F 1.858 0.000 7.868


16.
11
Lattice="5.013 0.000 0.000 -2.507 4.341 0.000 0.000 0.000 14.603" Properties=species:S:1:pos:R:3 comment="Ac3Mg2Ag2Hg4, optimized geometry, DFT PBE" ef_ev_per_fu=-3.6 dft_energy_ev_per_atom=-2.37 n_ef_per_ev_atom=0.778 pbc="T T T"
Ac 0.000 0.000 0.000
Ac 0.000 0.000 3.885
Ac 0.000 0.000 10.718
Mg 0.000 2.894 8.329
Mg 2.507 1.447 6.274
Ag 0.000 2.894 2.017
Ag 2.507 1.447 12.586
Hg 0.000 2.894 5.541
Hg 0.000 2.894 12.661
Hg 2.507 1.447 1.941
Hg 2.507 1.447 9.061


17.
16
Lattice="7.243 0.000 0.000 0.000 7.243 0.000 0.000 0.000 7.243" Properties=species:S:1:pos:R:3 comment="LiCaBiAu, optimized geometry, DFT PBE" ef_ev_per_fu=-2.3 dft_energy_ev_per_atom=-3.35 n_ef_per_ev_atom=0.438 pbc="T T T"
Li 0.000 0.000 0.000
Li 0.000 3.622 3.622
Li 3.622 0.000 3.622
Li 3.622 3.622 0.000
Ca 0.000 0.000 3.622
Ca 0.000 3.622 0.000
Ca 3.622 0.000 0.000
Ca 3.622 3.622 3.622
Bi 1.811 1.811 1.811
Bi 1.811 5.433 5.433
Bi 5.433 1.811 5.433
Bi 5.433 5.433 1.811
Au 1.811 1.811 5.433
Au 1.811 5.433 1.811
Au 5.433 1.811 1.811
Au 5.433 5.433 5.433


18.
5
Lattice="3.730 0.000 0.000 0.000 3.730 0.000 0.000 0.000 5.123" Properties=species:S:1:pos:R:3 comment="NaCrSeN2, optimized geometry, DFT PBE" dft_energy_ev_per_atom=-6.01 n_ef_per_ev_atom=0.429 pbc="T T T"
Na 0.000 0.000 0.000
Cr 1.865 1.865 2.561
Se 1.865 1.865 0.000
N 0.000 1.865 2.561
N 1.865 0.000 2.561


19.
18
Lattice="2.793 -9.959 0.000 2.793 9.959 0.000 0.000 0.000 10.525" Properties=species:S:1:pos:R:3 comment="Tb5YHoEr2, optimized geometry, DFT PBE" ef_ev_per_fu=1.4 dft_energy_ev_per_atom=-4.65 n_ef_per_ev_atom=1.674 pbc="T T T"
Tb 2.793 9.616 5.263
Tb 2.793 4.378 8.289
Tb 2.793 3.990 1.958
Tb 2.793 2.217 5.274
Tb 2.793 0.413 2.288
Tb 2.793 -0.413 7.551
Tb 2.793 -2.217 0.012
Tb 2.793 -3.990 7.221
Tb 2.793 -4.378 3.026
Tb 2.793 -9.616 0.000
Y 2.793 1.759 9.826
Y 2.793 -1.759 4.563
Ho 2.793 5.990 5.149
Ho 2.793 -5.990 10.412
Er 2.793 7.755 2.265
Er 2.793 7.697 8.351
Er 2.793 -7.697 3.088
Er 2.793 -7.755 7.527


20.
4
Lattice="4.818 0.000 0.000 0.000 4.818 0.000 0.000 0.000 4.861" Properties=species:S:1:pos:R:3 comment="Tb2LuTl, optimized geometry, DFT PBE" ef_ev_per_fu=-0.7 dft_energy_ev_per_atom=-4.21 n_ef_per_ev_atom=1.320 pbc="T T T"
Tb 0.000 2.409 0.000
Tb 2.409 0.000 0.000
Lu 0.000 0.000 2.431
Tl 2.409 2.409 2.431